[1]
DFT (PBE) results for an optimized crystal structure of MnPIr2C.

Geometry as CIF:
```
data_MnPIr2C
_cell_length_a 4.351
_cell_length_b 4.351
_cell_length_c 4.174
_cell_angle_alpha 90.00
_cell_angle_beta 90.00
_cell_angle_gamma 90.00
_symmetry_space_group_name_H-M 'P 4/m m m'
_symmetry_Int_Tables_number 123
_symmetry_space_group_name_Hall '-P 4 2'
loop_
_atom_site_label
_atom_site_type_symbol
_atom_site_fract_x
_atom_site_fract_y
_atom_site_fract_z
_atom_site_occupancy
Mn1 Mn 0.000 0.000 0.000 1
P1 P 0.000 0.000 0.500 1
Ir1 Ir 0.000 0.500 0.500 1
C1 C 0.500 0.500 0.000 1
```

Computed properties:
Formation enthalpy at 0 K = 1843 meV/atom
Theoretical density = 10.137 g/cm3
Uncorrected energy = -6.462 eV per atom



[2]
DFT (PBE) results for an optimized crystal structure of MnPIrC2.

Geometry as CIF:
```
data_MnPIrC2
_cell_length_a 3.519
_cell_length_b 3.519
_cell_length_c 5.497
_cell_angle_alpha 90.00
_cell_angle_beta 90.00
_cell_angle_gamma 90.00
_symmetry_space_group_name_H-M 'P 4/m m m'
_symmetry_Int_Tables_number 123
_symmetry_space_group_name_Hall '-P 4 2'
loop_
_atom_site_label
_atom_site_type_symbol
_atom_site_fract_x
_atom_site_fract_y
_atom_site_fract_z
_atom_site_occupancy
Mn1 Mn 0.000 0.000 0.000 1
P1 P 0.500 0.500 0.500 1
Ir1 Ir 0.000 0.000 0.500 1
C1 C 0.000 0.500 0.000 1
```

Computed properties:
Formation enthalpy at 0 K = 1381 meV/atom
Theoretical density = 7.369 g/cm3
Uncorrected energy = -6.996 eV per atom



[3]
DFT (PBE) results for an optimized crystal structure of TaMn2IrC.

Geometry as CIF:
```
data_TaMn2IrC
_cell_length_a 3.819
_cell_length_b 3.819
_cell_length_c 4.223
_cell_angle_alpha 90.00
_cell_angle_beta 90.00
_cell_angle_gamma 90.00
_symmetry_space_group_name_H-M 'P 4/m m m'
_symmetry_Int_Tables_number 123
_symmetry_space_group_name_Hall '-P 4 2'
loop_
_atom_site_label
_atom_site_type_symbol
_atom_site_fract_x
_atom_site_fract_y
_atom_site_fract_z
_atom_site_occupancy
Ta1 Ta 0.000 0.000 0.000 1
Mn1 Mn 0.000 0.500 0.500 1
Ir1 Ir 0.500 0.500 0.000 1
C1 C 0.000 0.000 0.500 1
```

Computed properties:
Formation enthalpy at 0 K = -175 meV/atom
Theoretical density = 13.347 g/cm3
Uncorrected energy = -9.830 eV per atom



[4]
DFT (PBE) results for an optimized crystal structure of Ta2MnIrC.

Geometry as CIF:
```
data_Ta2MnIrC
_cell_length_a 4.271
_cell_length_b 4.271
_cell_length_c 3.766
_cell_angle_alpha 90.00
_cell_angle_beta 90.00
_cell_angle_gamma 90.00
_symmetry_space_group_name_H-M 'P 4/m m m'
_symmetry_Int_Tables_number 123
_symmetry_space_group_name_Hall '-P 4 2'
loop_
_atom_site_label
_atom_site_type_symbol
_atom_site_fract_x
_atom_site_fract_y
_atom_site_fract_z
_atom_site_occupancy
Ta1 Ta 0.000 0.500 0.000 1
Mn1 Mn 0.000 0.000 0.500 1
Ir1 Ir 0.500 0.500 0.500 1
C1 C 0.000 0.000 0.000 1
```

Computed properties:
Formation enthalpy at 0 K = -335 meV/atom
Theoretical density = 15.012 g/cm3
Uncorrected energy = -10.527 eV per atom



[5]
DFT (PBE) results for an optimized crystal structure of Mn2TcIrC.

Geometry as CIF:
```
data_Mn2TcIrC
_cell_length_a 3.825
_cell_length_b 3.825
_cell_length_c 3.989
_cell_angle_alpha 90.00
_cell_angle_beta 90.00
_cell_angle_gamma 90.00
_symmetry_space_group_name_H-M 'P 4/m m m'
_symmetry_Int_Tables_number 123
_symmetry_space_group_name_Hall '-P 4 2'
loop_
_atom_site_label
_atom_site_type_symbol
_atom_site_fract_x
_atom_site_fract_y
_atom_site_fract_z
_atom_site_occupancy
Mn1 Mn 0.000 0.500 0.000 1
Tc1 Tc 0.000 0.000 0.500 1
Ir1 Ir 0.500 0.500 0.500 1
C1 C 0.000 0.000 0.000 1
```

Computed properties:
Formation enthalpy at 0 K = 101 meV/atom
Theoretical density = 11.722 g/cm3
Uncorrected energy = -9.257 eV per atom



[6]
DFT (PBE) results for an optimized crystal structure of MnTeIrC2.

Geometry as CIF:
```
data_MnTeIrC2
_cell_length_a 4.163
_cell_length_b 4.163
_cell_length_c 5.059
_cell_angle_alpha 90.00
_cell_angle_beta 90.00
_cell_angle_gamma 90.00
_symmetry_space_group_name_H-M 'P 4/m m m'
_symmetry_Int_Tables_number 123
_symmetry_space_group_name_Hall '-P 4 2'
loop_
_atom_site_label
_atom_site_type_symbol
_atom_site_fract_x
_atom_site_fract_y
_atom_site_fract_z
_atom_site_occupancy
Mn1 Mn 0.000 0.000 0.000 1
Te1 Te 0.500 0.500 0.500 1
Ir1 Ir 0.500 0.500 0.000 1
C1 C 0.000 0.500 0.500 1
```

Computed properties:
Energy relative to the elements, uncorrected = 2510 meV per atom
Theoretical density = 7.552 g/cm3
Uncorrected energy = -5.414 eV per atom



[7]
DFT (PBE) results for an optimized crystal structure of Ti2MnIrC.

Geometry as CIF:
```
data_Ti2MnIrC
_cell_length_a 4.212
_cell_length_b 4.212
_cell_length_c 3.633
_cell_angle_alpha 90.00
_cell_angle_beta 90.00
_cell_angle_gamma 90.00
_symmetry_space_group_name_H-M 'P 4/m m m'
_symmetry_Int_Tables_number 123
_symmetry_space_group_name_Hall '-P 4 2'
loop_
_atom_site_label
_atom_site_type_symbol
_atom_site_fract_x
_atom_site_fract_y
_atom_site_fract_z
_atom_site_occupancy
Ti1 Ti 0.000 0.500 0.000 1
Mn1 Mn 0.000 0.000 0.500 1
Ir1 Ir 0.500 0.500 0.500 1
C1 C 0.000 0.000 0.000 1
```

Computed properties:
Formation enthalpy at 0 K = -509 meV/atom
Theoretical density = 9.144 g/cm3
Uncorrected energy = -9.118 eV per atom



[8]
DFT (PBE) results for an optimized crystal structure of MnV2IrC.

Geometry as CIF:
```
data_MnV2IrC
_cell_length_a 3.951
_cell_length_b 3.951
_cell_length_c 3.792
_cell_angle_alpha 90.00
_cell_angle_beta 90.00
_cell_angle_gamma 90.00
_symmetry_space_group_name_H-M 'P 4/m m m'
_symmetry_Int_Tables_number 123
_symmetry_space_group_name_Hall '-P 4 2'
loop_
_atom_site_label
_atom_site_type_symbol
_atom_site_fract_x
_atom_site_fract_y
_atom_site_fract_z
_atom_site_occupancy
Mn1 Mn 0.000 0.000 0.000 1
V1 V 0.000 0.500 0.500 1
Ir1 Ir 0.500 0.500 0.000 1
C1 C 0.000 0.000 0.500 1
```

Computed properties:
Formation enthalpy at 0 K = -289 meV/atom
Theoretical density = 10.126 g/cm3
Uncorrected energy = -9.388 eV per atom



[9]
DFT (PBE) results for an optimized crystal structure of MnIr2WC.

Geometry as CIF:
```
data_MnIr2WC
_cell_length_a 4.043
_cell_length_b 4.043
_cell_length_c 4.180
_cell_angle_alpha 90.00
_cell_angle_beta 90.00
_cell_angle_gamma 90.00
_symmetry_space_group_name_H-M 'P 4/m m m'
_symmetry_Int_Tables_number 123
_symmetry_space_group_name_Hall '-P 4 2'
loop_
_atom_site_label
_atom_site_type_symbol
_atom_site_fract_x
_atom_site_fract_y
_atom_site_fract_z
_atom_site_occupancy
Mn1 Mn 0.000 0.000 0.000 1
Ir1 Ir 0.000 0.500 0.500 1
W1 W 0.500 0.500 0.000 1
C1 C 0.500 0.500 0.500 1
```

Computed properties:
Formation enthalpy at 0 K = 257 meV/atom
Theoretical density = 15.436 g/cm3
Uncorrected energy = -9.557 eV per atom



[10]
DFT (PBE) results for an optimized crystal structure of MnIrW2C.

Geometry as CIF:
```
data_MnIrW2C
_cell_length_a 4.118
_cell_length_b 4.118
_cell_length_c 3.834
_cell_angle_alpha 90.00
_cell_angle_beta 90.00
_cell_angle_gamma 90.00
_symmetry_space_group_name_H-M 'P 4/m m m'
_symmetry_Int_Tables_number 123
_symmetry_space_group_name_Hall '-P 4 2'
loop_
_atom_site_label
_atom_site_type_symbol
_atom_site_fract_x
_atom_site_fract_y
_atom_site_fract_z
_atom_site_occupancy
Mn1 Mn 0.000 0.000 0.000 1
Ir1 Ir 0.500 0.500 0.000 1
W1 W 0.000 0.500 0.500 1
C1 C 0.000 0.000 0.500 1
```

Computed properties:
Formation enthalpy at 0 K = 36 meV/atom
Theoretical density = 16.013 g/cm3
Uncorrected energy = -10.596 eV per atom



[11]
DFT (PBE) results for an optimized crystal structure of YMnIrC2.

Geometry as CIF:
```
data_YMnIrC2
_cell_length_a 3.823
_cell_length_b 3.823
_cell_length_c 4.957
_cell_angle_alpha 90.00
_cell_angle_beta 90.00
_cell_angle_gamma 90.00
_symmetry_space_group_name_H-M 'P 4/m m m'
_symmetry_Int_Tables_number 123
_symmetry_space_group_name_Hall '-P 4 2'
loop_
_atom_site_label
_atom_site_type_symbol
_atom_site_fract_x
_atom_site_fract_y
_atom_site_fract_z
_atom_site_occupancy
Y1 Y 0.000 0.000 0.000 1
Mn1 Mn 0.500 0.500 0.500 1
Ir1 Ir 0.500 0.500 0.000 1
C1 C 0.000 0.500 0.500 1
```

Computed properties:
Formation enthalpy at 0 K = 827 meV/atom
Theoretical density = 8.251 g/cm3
Uncorrected energy = -7.761 eV per atom



[12]
DFT (PBE) results for an optimized crystal structure of Mn2ZnIrC.

Geometry as CIF:
```
data_Mn2ZnIrC
_cell_length_a 4.582
_cell_length_b 4.582
_cell_length_c 4.506
_cell_angle_alpha 90.00
_cell_angle_beta 90.00
_cell_angle_gamma 90.00
_symmetry_space_group_name_H-M 'P 4/m m m'
_symmetry_Int_Tables_number 123
_symmetry_space_group_name_Hall '-P 4 2'
loop_
_atom_site_label
_atom_site_type_symbol
_atom_site_fract_x
_atom_site_fract_y
_atom_site_fract_z
_atom_site_occupancy
Mn1 Mn 0.000 0.500 0.000 1
Zn1 Zn 0.000 0.000 0.000 1
Ir1 Ir 0.000 0.000 0.500 1
C1 C 0.500 0.500 0.500 1
```

Computed properties:
Relative energy among the computed polymorphs = 2.2148 eV per atom
Formation enthalpy at 0 K = 2219 meV/atom
Theoretical density = 6.661 g/cm3
Uncorrected energy = -5.320 eV per atom



[13]
DFT (PBE) results for an optimized crystal structure of Mn2ZnIrC.

Geometry as CIF:
```
data_Mn2ZnIrC
_cell_length_a 3.903
_cell_length_b 3.903
_cell_length_c 4.043
_cell_angle_alpha 90.00
_cell_angle_beta 90.00
_cell_angle_gamma 90.00
_symmetry_space_group_name_H-M 'P 4/m m m'
_symmetry_Int_Tables_number 123
_symmetry_space_group_name_Hall '-P 4 2'
loop_
_atom_site_label
_atom_site_type_symbol
_atom_site_fract_x
_atom_site_fract_y
_atom_site_fract_z
_atom_site_occupancy
Mn1 Mn 0.000 0.500 0.000 1
Zn1 Zn 0.000 0.000 0.500 1
Ir1 Ir 0.500 0.500 0.500 1
C1 C 0.500 0.500 0.000 1
```

Computed properties:
Relative energy among the computed polymorphs = 0.0000 eV per atom
Formation enthalpy at 0 K = 4 meV/atom
Theoretical density = 10.230 g/cm3
Uncorrected energy = -7.535 eV per atom



[14]
DFT (PBE) results for an optimized crystal structure of ZrMnIrC2.

Geometry as CIF:
```
data_ZrMnIrC2
_cell_length_a 3.912
_cell_length_b 3.912
_cell_length_c 4.957
_cell_angle_alpha 90.00
_cell_angle_beta 90.00
_cell_angle_gamma 90.00
_symmetry_space_group_name_H-M 'P 4/m m m'
_symmetry_Int_Tables_number 123
_symmetry_space_group_name_Hall '-P 4 2'
loop_
_atom_site_label
_atom_site_type_symbol
_atom_site_fract_x
_atom_site_fract_y
_atom_site_fract_z
_atom_site_occupancy
Zr1 Zr 0.000 0.000 0.000 1
Mn1 Mn 0.500 0.500 0.000 1
Ir1 Ir 0.500 0.500 0.500 1
C1 C 0.000 0.500 0.500 1
```

Computed properties:
Formation enthalpy at 0 K = 1266 meV/atom
Theoretical density = 7.932 g/cm3
Uncorrected energy = -7.740 eV per atom



[15]
DFT (PBE) results for an optimized crystal structure of ZrMn2IrC.

Geometry as CIF:
```
data_ZrMn2IrC
_cell_length_a 3.873
_cell_length_b 3.873
_cell_length_c 4.520
_cell_angle_alpha 90.00
_cell_angle_beta 90.00
_cell_angle_gamma 90.00
_symmetry_space_group_name_H-M 'P 4/m m m'
_symmetry_Int_Tables_number 123
_symmetry_space_group_name_Hall '-P 4 2'
loop_
_atom_site_label
_atom_site_type_symbol
_atom_site_fract_x
_atom_site_fract_y
_atom_site_fract_z
_atom_site_occupancy
Zr1 Zr 0.000 0.000 0.000 1
Mn1 Mn 0.000 0.500 0.500 1
Ir1 Ir 0.500 0.500 0.000 1
C1 C 0.000 0.000 0.500 1
```

Computed properties:
Formation enthalpy at 0 K = -196 meV/atom
Theoretical density = 9.926 g/cm3
Uncorrected energy = -9.190 eV per atom



[16]
DFT (PBE) results for an optimized crystal structure of Mo3IrC.

Geometry as CIF:
```
data_Mo3IrC
_cell_length_a 5.337
_cell_length_b 9.627
_cell_length_c 5.375
_cell_angle_alpha 90.00
_cell_angle_beta 90.00
_cell_angle_gamma 90.00
_symmetry_space_group_name_H-M 'C m c 21'
_symmetry_Int_Tables_number 36
loop_
_symmetry_equiv_pos_as_xyz
'x,y,z'
'-x,-y,z+1/2'
'-x,y,z'
'x,-y,z+1/2'
'x+1/2,y+1/2,z'
'-x+1/2,-y+1/2,z+1/2'
'-x+1/2,y+1/2,z'
'x+1/2,-y+1/2,z+1/2'
loop_
_atom_site_label
_atom_site_type_symbol
_atom_site_fract_x
_atom_site_fract_y
_atom_site_fract_z
_atom_site_occupancy
Mo1 Mo 0.000 0.042 0.000 1
Mo2 Mo 0.247 0.299 0.142 1
Ir1 Ir 0.000 0.460 0.781 1
C1 C 0.000 0.167 0.343 1
```

Computed properties:
Relative energy among the computed polymorphs = 0.0437 eV per atom
Formation enthalpy at 0 K = 47 meV/atom
Theoretical density = 11.834 g/cm3
Uncorrected energy = -10.069 eV per atom



[17]
DFT (PBE) results for an optimized crystal structure of Mo3IrC.

Geometry as CIF:
```
data_Mo3IrC
_cell_length_a 4.730
_cell_length_b 4.730
_cell_length_c 4.730
_cell_angle_alpha 90.00
_cell_angle_beta 90.00
_cell_angle_gamma 90.00
_symmetry_space_group_name_H-M 'P m -3 m'
_symmetry_Int_Tables_number 221
_symmetry_space_group_name_Hall '-P 4 2 3'
loop_
_atom_site_label
_atom_site_type_symbol
_atom_site_fract_x
_atom_site_fract_y
_atom_site_fract_z
_atom_site_occupancy
Mo1 Mo 0.000 0.000 0.500 1
Ir1 Ir 0.000 0.000 0.000 1
C1 C 0.500 0.500 0.500 1
```

Computed properties:
Relative energy among the computed polymorphs = 2.8529 eV per atom
Formation enthalpy at 0 K = 2856 meV/atom
Theoretical density = 7.721 g/cm3
Uncorrected energy = -7.260 eV per atom



[18]
DFT (PBE) results for an optimized crystal structure of Mo3IrC.

Geometry as CIF:
```
data_Mo3IrC
_cell_length_a 4.118
_cell_length_b 4.118
_cell_length_c 4.118
_cell_angle_alpha 90.00
_cell_angle_beta 90.00
_cell_angle_gamma 90.00
_symmetry_space_group_name_H-M 'P m -3 m'
_symmetry_Int_Tables_number 221
_symmetry_space_group_name_Hall '-P 4 2 3'
loop_
_atom_site_label
_atom_site_type_symbol
_atom_site_fract_x
_atom_site_fract_y
_atom_site_fract_z
_atom_site_occupancy
Mo1 Mo 0.000 0.000 0.500 1
Ir1 Ir 0.500 0.500 0.500 1
C1 C 0.000 0.000 0.000 1
```

Computed properties:
Relative energy among the computed polymorphs = 0.0000 eV per atom
Formation enthalpy at 0 K = 3 meV/atom
Theoretical density = 11.703 g/cm3
Uncorrected energy = -10.113 eV per atom



[19]
DFT (PBE) results for an optimized crystal structure of MoIr3C.

Geometry as CIF:
```
data_MoIr3C
_cell_length_a 4.705
_cell_length_b 4.705
_cell_length_c 4.705
_cell_angle_alpha 90.00
_cell_angle_beta 90.00
_cell_angle_gamma 90.00
_symmetry_space_group_name_H-M 'P m -3 m'
_symmetry_Int_Tables_number 221
_symmetry_space_group_name_Hall '-P 4 2 3'
loop_
_atom_site_label
_atom_site_type_symbol
_atom_site_fract_x
_atom_site_fract_y
_atom_site_fract_z
_atom_site_occupancy
Mo1 Mo 0.000 0.000 0.000 1
Ir1 Ir 0.000 0.000 0.500 1
C1 C 0.500 0.500 0.500 1
```

Computed properties:
Relative energy among the computed polymorphs = 2.3957 eV per atom
Formation enthalpy at 0 K = 2999 meV/atom
Theoretical density = 10.918 g/cm3
Uncorrected energy = -6.329 eV per atom



[20]
DFT (PBE) results for an optimized crystal structure of Mo2IrC.

Geometry as CIF:
```
data_Mo2IrC
_cell_length_a 2.9279
_cell_length_b 2.9279
_cell_length_c 20.9962
_cell_angle_alpha 90.00
_cell_angle_beta 90.00
_cell_angle_gamma 120.00
_symmetry_space_group_name_H-M 'R 3 m'
_symmetry_Int_Tables_number 160
_symmetry_space_group_name_Hall 'R 3 -2"'
loop_
_atom_site_label
_atom_site_type_symbol
_atom_site_fract_x
_atom_site_fract_y
_atom_site_fract_z
_atom_site_occupancy
Mo1 Mo 0.0000 0.0000 0.0000 1
Mo2 Mo 0.0000 0.0000 0.2118 1
Ir1 Ir 0.0000 0.0000 0.7709 1
C1 C 0.0000 0.0000 0.6070 1
```

Computed properties:
Formation enthalpy at 0 K = -73 meV/atom
Theoretical density = 12.659 g/cm3
Uncorrected energy = -10.010 eV per atom